1.
## BaSrAg2 (PBE)

Data for an optimized crystal structure of BaSrAg2.

Structure (CIF):
```
data_BaSrAg2
_space_group_name_H-M_alt 'F m -3 m'
_space_group_IT_number 225
_space_group_name_Hall '-F 4 2 3'
_cell_length_a 8.0710
_cell_length_b 8.0710
_cell_length_c 8.0710
_cell_angle_alpha 90.00
_cell_angle_beta 90.00
_cell_angle_gamma 90.00
loop_
_atom_site_label
_atom_site_fract_x
_atom_site_fract_y
_atom_site_fract_z
_atom_site_occupancy
Ba1 0.0000 0.0000 0.0000 1
Sr1 0.0000 0.0000 0.5000 1
Ag1 0.2500 0.2500 0.2500 1
```

Energy relative to the elements: -0.25 eV/atom
ΔE to the lowest computed polymorph: 0.038 eV per atom
Fermi-level density of states: 1.01 states/eV per atom

***

2.
## CrFe2P (PBE)

Data for an optimized crystal structure of CrFe2P.

Structure (CIF):
```
data_CrFe2P
_space_group_name_H-M_alt 'P m m m'
_space_group_IT_number 47
_cell_length_a 2.8655
_cell_length_b 3.8630
_cell_length_c 3.9665
_cell_angle_alpha 90.00
_cell_angle_beta 90.00
_cell_angle_gamma 90.00
loop_
_space_group_symop_operation_xyz
'x,y,z'
'-x,-y,-z'
'-x,-y,z'
'x,y,-z'
'x,-y,-z'
'-x,y,z'
'-x,y,-z'
'x,-y,z'
loop_
_atom_site_label
_atom_site_fract_x
_atom_site_fract_y
_atom_site_fract_z
_atom_site_occupancy
Cr1 0.0000 0.0000 0.0000 1
Fe1 0.0000 0.5000 0.5000 1
Fe2 0.5000 0.0000 0.5000 1
P1 0.5000 0.5000 0.0000 1
```

Energy relative to the elements: -0.15 eV/atom
Fermi-level density of states: 0.80 states/eV per atom

***

3.
## ThInSe3 (PBE)

Data for an optimized crystal structure of ThInSe3.

Structure (CIF):
```
data_ThInSe3
_space_group_name_H-M_alt 'C m c 21'
_space_group_IT_number 36
_cell_length_a 4.3078
_cell_length_b 20.1991
_cell_length_c 7.5049
_cell_angle_alpha 90.00
_cell_angle_beta 90.00
_cell_angle_gamma 90.00
loop_
_space_group_symop_operation_xyz
'x,y,z'
'-x,-y,z+1/2'
'-x,y,z'
'x,-y,z+1/2'
'x+1/2,y+1/2,z'
'-x+1/2,-y+1/2,z+1/2'
'-x+1/2,y+1/2,z'
'x+1/2,-y+1/2,z+1/2'
loop_
_atom_site_label
_atom_site_fract_x
_atom_site_fract_y
_atom_site_fract_z
_atom_site_occupancy
Th1 0.0000 0.1679 0.0000 1
In1 0.0000 0.3518 0.0262 1
Se1 0.0000 0.0863 0.6829 1
Se2 0.0000 0.2526 0.3306 1
Se3 0.0000 0.4012 0.6744 1
```

Uncorrected energy: -26.15 eV per formula unit
Fermi-level density of states: 0.30 states/eV per atom

***

4.
## DyPaRu (PBE)

Data for an optimized crystal structure of DyPaRu.

Structure (CIF):
```
data_DyPaRu
_space_group_name_H-M_alt 'P 1 21/m 1'
_space_group_IT_number 11
_cell_length_a 5.2002
_cell_length_b 4.1560
_cell_length_c 7.3060
_cell_angle_alpha 90.00
_cell_angle_beta 90.91
_cell_angle_gamma 90.00
loop_
_space_group_symop_operation_xyz
'x,y,z'
'-x,-y,-z'
'-x,y+1/2,-z'
'x,-y+1/2,z'
loop_
_atom_site_label
_atom_site_fract_x
_atom_site_fract_y
_atom_site_fract_z
_atom_site_occupancy
Dy1 0.2491 0.2500 0.4159 1
Pa1 0.2487 0.2500 0.8982 1
Ru1 0.2531 0.7500 0.1566 1
```

Energy relative to the elements: -0.26 eV/atom
ΔE to the lowest computed polymorph: 0.056 eV per atom
Fermi-level density of states: 1.30 states/eV per atom

***

5.
## AcSm4Ge4 (PBE)

Data for an optimized crystal structure of AcSm4Ge4.

Structure (CIF):
```
data_AcSm4Ge4
_space_group_name_H-M_alt 'P 42/n'
_space_group_IT_number 86
_cell_length_a 9.6777
_cell_length_b 9.6777
_cell_length_c 5.9167
_cell_angle_alpha 90.00
_cell_angle_beta 90.00
_cell_angle_gamma 90.00
loop_
_space_group_symop_operation_xyz
'x,y,z'
'-x,-y,-z'
'-y,x+1/2,z+1/2'
'y,-x+1/2,-z+1/2'
'-x+1/2,-y+1/2,z'
'x+1/2,y+1/2,-z'
'y+1/2,-x,z+1/2'
'-y+1/2,x,-z+1/2'
loop_
_atom_site_label
_atom_site_fract_x
_atom_site_fract_y
_atom_site_fract_z
_atom_site_occupancy
Ac1 0.2500 0.2500 0.2500 1
Sm1 0.1050 0.6365 0.1331 1
Ge1 0.0548 0.5883 0.6423 1
```

Energy relative to the elements: -0.57 eV/atom
Fermi-level density of states: 0.93 states/eV per atom

***

6.
## SiAsC2 (PBE)

Data for an optimized crystal structure of SiAsC2.

Structure (CIF):
```
data_SiAsC2
_space_group_name_H-M_alt 'C 1 m 1'
_space_group_IT_number 8
_cell_length_a 5.4253
_cell_length_b 3.1360
_cell_length_c 5.7565
_cell_angle_alpha 90.00
_cell_angle_beta 102.72
_cell_angle_gamma 90.00
loop_
_space_group_symop_operation_xyz
'x,y,z'
'x,-y,z'
'x+1/2,y+1/2,z'
'x+1/2,-y+1/2,z'
loop_
_atom_site_label
_atom_site_fract_x
_atom_site_fract_y
_atom_site_fract_z
_atom_site_occupancy
Si1 0.0000 0.0000 0.0000 1
As1 0.2872 0.5000 0.5049 1
C1 0.0872 0.0000 0.3486 1
C2 0.1469 0.5000 0.9196 1
```

ΔE to the lowest computed polymorph: 0.046 eV per atom
Fermi-level density of states: 0.21 states/eV per atom

***

7.
## Sr5U2N6 (PBE)

Data for an optimized crystal structure of Sr5U2N6.

Structure (CIF):
```
data_Sr5U2N6
_space_group_name_H-M_alt 'P b a m'
_space_group_IT_number 55
_cell_length_a 12.7761
_cell_length_b 13.1308
_cell_length_c 3.6957
_cell_angle_alpha 90.00
_cell_angle_beta 90.00
_cell_angle_gamma 90.00
loop_
_space_group_symop_operation_xyz
'x,y,z'
'-x,-y,-z'
'-x,-y,z'
'x,y,-z'
'x+1/2,-y+1/2,-z'
'-x+1/2,y+1/2,z'
'-x+1/2,y+1/2,-z'
'x+1/2,-y+1/2,z'
loop_
_atom_site_label
_atom_site_fract_x
_atom_site_fract_y
_atom_site_fract_z
_atom_site_occupancy
Sr1 0.0000 0.0000 0.0000 1
Sr2 0.0072 0.3413 0.0000 1
Sr3 0.2322 0.7761 0.0000 1
U1 0.2067 0.5090 0.5000 1
N1 0.1478 0.6520 0.5000 1
N2 0.1533 0.3629 0.5000 1
N3 0.2002 0.9834 0.0000 1
```

Uncorrected energy: -91.91 eV per formula unit
Fermi-level density of states: 0.53 states/eV per atom

***

8.
## CaPuSe2 (PBE)

Data for an optimized crystal structure of CaPuSe2.

Structure (CIF):
```
data_CaPuSe2
_space_group_name_H-M_alt 'I 41/a m d'
_space_group_IT_number 141
_cell_length_a 5.9247
_cell_length_b 5.9247
_cell_length_c 11.8746
_cell_angle_alpha 90.00
_cell_angle_beta 90.00
_cell_angle_gamma 90.00
loop_
_space_group_symop_operation_xyz
'x,y,z'
'-x,-y,-z'
'-y+1/4,x+3/4,z+1/4'
'y+1/4,-x+3/4,-z+1/4'
'-x+1/2,-y,z+1/2'
'x+1/2,y,-z+1/2'
'y+1/4,-x+1/4,z+3/4'
'-y+1/4,x+1/4,-z+3/4'
'x,-y,-z'
'-x,y,z'
'-y+1/4,-x+1/4,-z+3/4'
'y+1/4,x+1/4,z+3/4'
'-x+1/2,y,-z+1/2'
'x+1/2,-y,z+1/2'
'y+1/4,x+3/4,-z+1/4'
'-y+1/4,-x+3/4,z+1/4'
'x+1/2,y+1/2,z+1/2'
'-x+1/2,-y+1/2,-z+1/2'
'-y+3/4,x+1/4,z+3/4'
'y+3/4,-x+1/4,-z+3/4'
'-x,-y+1/2,z'
'x,y+1/2,-z'
'y+3/4,-x+3/4,z+1/4'
'-y+3/4,x+3/4,-z+1/4'
'x+1/2,-y+1/2,-z+1/2'
'-x+1/2,y+1/2,z+1/2'
'-y+3/4,-x+3/4,-z+1/4'
'y+3/4,x+3/4,z+1/4'
'-x,y+1/2,-z'
'x,-y+1/2,z'
'y+3/4,x+1/4,-z+3/4'
'-y+3/4,-x+1/4,z+3/4'
loop_
_atom_site_label
_atom_site_fract_x
_atom_site_fract_y
_atom_site_fract_z
_atom_site_occupancy
Ca1 0.0000 0.2500 0.3750 1
Pu1 0.0000 0.2500 0.8750 1
Se1 0.0000 0.2500 0.1239 1
```

ΔE to the lowest computed polymorph: 0.035 eV per atom
Fermi-level density of states: 2.54 states/eV per atom

***

9.
## Rb2MgIBr6 (PBE)

Data for an optimized crystal structure of Rb2MgIBr6.

Structure (CIF):
```
data_Rb2MgIBr6
_space_group_name_H-M_alt 'I 4/m m m'
_space_group_IT_number 139
_space_group_name_Hall '-I 4 2'
_cell_length_a 8.4646
_cell_length_b 8.4646
_cell_length_c 11.1236
_cell_angle_alpha 90.00
_cell_angle_beta 90.00
_cell_angle_gamma 90.00
loop_
_atom_site_label
_atom_site_fract_x
_atom_site_fract_y
_atom_site_fract_z
_atom_site_occupancy
Rb1 0.0000 0.5000 0.2500 1
Mg1 0.0000 0.0000 0.0000 1
I1 0.0000 0.0000 0.5000 1
Br1 0.0000 0.0000 0.2602 1
Br2 0.2173 0.2173 0.0000 1
```

Uncorrected energy: -25.38 eV per formula unit
Fermi-level density of states: 0.68 states/eV per atom

***

10.
## Ca12Zn6Sn (PBE)

Data for an optimized crystal structure of Ca12Zn6Sn.

Structure (CIF):
```
data_Ca12Zn6Sn
_space_group_name_H-M_alt 'I m -3'
_space_group_IT_number 204
_space_group_name_Hall '-I 2 2 3'
_cell_length_a 10.4565
_cell_length_b 10.4565
_cell_length_c 10.4565
_cell_angle_alpha 90.00
_cell_angle_beta 90.00
_cell_angle_gamma 90.00
loop_
_atom_site_label
_atom_site_fract_x
_atom_site_fract_y
_atom_site_fract_z
_atom_site_occupancy
Ca1 0.0000 0.2896 0.1862 1
Zn1 0.0000 0.1220 0.5000 1
Sn1 0.0000 0.0000 0.0000 1
```

Energy relative to the elements: -0.24 eV/atom
Fermi-level density of states: 0.48 states/eV per atom

***

11.
## ReBi3N (PBE)

Data for an optimized crystal structure of ReBi3N.

Structure (CIF):
```
data_ReBi3N
_space_group_name_H-M_alt 'P m -3 m'
_space_group_IT_number 221
_space_group_name_Hall '-P 4 2 3'
_cell_length_a 5.2501
_cell_length_b 5.2501
_cell_length_c 5.2501
_cell_angle_alpha 90.00
_cell_angle_beta 90.00
_cell_angle_gamma 90.00
loop_
_atom_site_label
_atom_site_fract_x
_atom_site_fract_y
_atom_site_fract_z
_atom_site_occupancy
Re1 0.0000 0.0000 0.0000 1
Bi1 0.0000 0.0000 0.5000 1
N1 0.5000 0.5000 0.5000 1
```

ΔE to the lowest computed polymorph: 0.508 eV per atom
Fermi-level density of states: 0.68 states/eV per atom

***

12.
## Y2CoAsPd (PBE)

Data for an optimized crystal structure of Y2CoAsPd.

Structure (CIF):
```
data_Y2CoAsPd
_space_group_name_H-M_alt 'P 4/m m m'
_space_group_IT_number 123
_space_group_name_Hall '-P 4 2'
_cell_length_a 5.1711
_cell_length_b 5.1711
_cell_length_c 4.2435
_cell_angle_alpha 90.00
_cell_angle_beta 90.00
_cell_angle_gamma 90.00
loop_
_atom_site_label
_atom_site_fract_x
_atom_site_fract_y
_atom_site_fract_z
_atom_site_occupancy
Y1 0.0000 0.5000 0.0000 1
Co1 0.0000 0.0000 0.0000 1
As1 0.0000 0.0000 0.5000 1
Pd1 0.5000 0.5000 0.5000 1
```

Energy relative to the elements: -0.42 eV/atom
Fermi-level density of states: 0.35 states/eV per atom

***

13.
## YTlRe (PBE)

Data for an optimized crystal structure of YTlRe.

Structure (CIF):
```
data_YTlRe
_space_group_name_H-M_alt 'F -4 3 m'
_space_group_IT_number 216
_space_group_name_Hall 'F -4 2 3'
_cell_length_a 6.7478
_cell_length_b 6.7478
_cell_length_c 6.7478
_cell_angle_alpha 90.00
_cell_angle_beta 90.00
_cell_angle_gamma 90.00
loop_
_atom_site_label
_atom_site_fract_x
_atom_site_fract_y
_atom_site_fract_z
_atom_site_occupancy
Y1 0.0000 0.0000 0.0000 1
Tl1 0.0000 0.0000 0.5000 1
Re1 0.2500 0.2500 0.7500 1
```

Energy relative to the elements: 0.77 eV/atom
ΔE to the lowest computed polymorph: 0.343 eV per atom
Fermi-level density of states: 1.44 states/eV per atom